[1]
First-principles (PBE-GGA) data for a relaxed structure of PdPb2O3, as listed in the Open Quantum Materials Database.

a b c (Å): 3.495 4.072 13.016
angles (deg): 90.00 90.00 90.00
Space group Immm (No. 71)
One atom of each set of equivalent atoms:
Pd 0.000 0.000 0.000 x2
Pb 0.000 0.000 0.351 x4
O 0.000 0.000 0.159 x4
O 0.000 0.500 0.000 x2

Properties
As for the energy above the lowest structure with this stoichiometry: 6 meV/atom.

---

[2]
First-principles (PBE-GGA) data for a relaxed structure of Pd2PbO4, as listed in the Open Quantum Materials Database.

a b c (Å): 5.860 5.860 10.140
angles (deg): 90.00 90.00 90.00
Space group I4_1/a (No. 88, origin choice 2)
One atom of each set of equivalent atoms:
Pd 0.000 0.000 0.000 x8
Pb 0.000 0.250 0.625 x4
O 0.160 0.446 0.826 x16

Properties
As for the energy above the lowest structure with this stoichiometry: 0 meV/atom.

---

[3]
First-principles (PBE-GGA) data for a relaxed structure of Pd2PbO4, as listed in the Open Quantum Materials Database.

a b c (Å): 5.843 5.843 10.071
angles (deg): 90.00 90.00 90.00
Space group I4_1/a (No. 88, origin choice 2)
One atom of each set of equivalent atoms:
Pd 0.000 0.000 0.000 x8
Pb 0.000 0.250 0.625 x4
O 0.160 0.445 0.825 x16

Properties
As for the energy above the lowest structure with this stoichiometry: 5 meV/atom.

---

| no. | calculated density (g cm⁻³) |
| --- | --- |
| 1 | 10.20 |
| 2 | 9.23 |
| 3 | 9.35 |